Entry 1:
## CsGaSb4 (PBE-GGA)

Data for an optimized crystal structure of CsGaSb4.

Cell: 8.840 8.840 7.446 Å, 95.56 95.56 56.89°
Sites, in units of the cell vectors:
Cs1 0.181 0.181 0.282
Cs2 0.819 0.819 0.718
Ga1 0.417 0.417 0.618
Ga2 0.583 0.583 0.382
Sb1 0.246 0.587 0.099
Sb2 0.248 0.752 0.500
Sb3 0.288 0.288 0.816
Sb4 0.413 0.754 0.901
Sb5 0.587 0.246 0.099
Sb6 0.712 0.712 0.184
Sb7 0.752 0.248 0.500
Sb8 0.754 0.413 0.901

## Properties
space group: C2/m



Entry 2:
## Cs2GaSb2 (PBE-GGA)

Data for an optimized crystal structure of Cs2GaSb2.

Cell: 9.503 9.503 9.503 Å, 129.96 69.62 134.90°
Sites, in units of the cell vectors:
Cs1 0.144 0.178 0.322
Cs2 0.356 0.678 0.034
Cs3 0.644 0.322 0.966
Cs4 0.856 0.822 0.678
Ga1 0.250 0.750 0.500
Ga2 0.750 0.250 0.500
Sb1 0.096 0.672 0.768
Sb2 0.404 0.172 0.576
Sb3 0.596 0.828 0.424
Sb4 0.904 0.328 0.232

## Properties
relative energy among the computed polymorphs: 97 meV/atom
space group: Ibam



Entry 3:
## CsGa2Sb2 (PBE-GGA)

Data for an optimized crystal structure of CsGa2Sb2.

Cell: 6.519 6.519 6.519 Å, 132.48 132.48 69.47°
Sites, in units of the cell vectors:
Cs1 0.000 0.000 0.000
Ga1 0.375 0.375 0.000
Ga2 0.625 0.625 0.000
Sb1 0.250 0.750 0.500
Sb2 0.750 0.250 0.500

## Properties
relative energy among the computed polymorphs: 145 meV/atom
space group: I4/mmm



Entry 4:
## CsScGaSb2 (PBE-GGA)

Data for an optimized crystal structure of CsScGaSb2.

Cell: 5.546 5.546 6.258 Å, 90.00 90.00 90.00°
Sites, in units of the cell vectors:
Cs1 0.000 0.000 0.000
Sc1 0.000 0.000 0.500
Ga1 0.500 0.500 0.000
Sb1 0.000 0.500 0.500
Sb2 0.500 0.000 0.500

## Properties
space group: P4/mmm



Entry 5:
## CsGa2SbSe6 (PBE-GGA)

Data for an optimized crystal structure of CsGa2SbSe6.

Cell: 10.205 10.205 7.824 Å, 105.82 105.82 89.75°
Sites, in units of the cell vectors:
Cs1 0.073 0.927 0.750
Cs2 0.927 0.073 0.250
Ga1 0.224 0.364 0.871
Ga2 0.364 0.224 0.371
Ga3 0.636 0.776 0.629
Ga4 0.776 0.636 0.129
Sb1 0.254 0.746 0.250
Sb2 0.746 0.254 0.750
Se1 0.023 0.709 0.312
Se2 0.221 0.351 0.541
Se3 0.287 0.606 0.942
Se4 0.291 0.977 0.188
Se5 0.351 0.221 0.041
Se6 0.394 0.713 0.558
Se7 0.606 0.287 0.442
Se8 0.649 0.779 0.959
Se9 0.709 0.023 0.812
Se10 0.713 0.394 0.058
Se11 0.779 0.649 0.459
Se12 0.977 0.291 0.688

## Properties
space group: C2/c



Entry 6:
## CsGaSbSe4 (PBE-GGA)

Data for an optimized crystal structure of CsGaSbSe4.

Cell: 6.726 7.229 9.483 Å, 90.00 98.88 90.00°
Sites, in units of the cell vectors:
Cs1 0.225 0.250 0.066
Cs2 0.775 0.750 0.934
Ga1 0.351 0.250 0.664
Ga2 0.649 0.750 0.336
Sb1 0.159 0.750 0.424
Sb2 0.841 0.250 0.576
Se1 0.123 0.508 0.697
Se2 0.123 0.992 0.697
Se3 0.330 0.750 0.179
Se4 0.447 0.250 0.432
Se5 0.553 0.750 0.568
Se6 0.670 0.250 0.821
Se7 0.877 0.008 0.303
Se8 0.877 0.492 0.303

## Properties
space group: P2_1/m



Listing calculated total energy for the structures above in their given order: -3.475 -2.944 -3.195 -3.519 -3.625 -3.678 eV/atom.
Listing raw formation energy for the structures above in their given order: -0.080 -0.348 -0.165 0.173 -0.431 -0.544 eV per atom.